1.
# ZnInNi, optimized geometry, DFT PBE-GGA
data_ZnInNi
_chemical_formula_sum 'Zn2 In2 Ni2'
_symmetry_space_group_name_H-M 'I 4 m m'
_symmetry_Int_Tables_number 107
_symmetry_space_group_name_Hall 'I 4 -2'
_cell_length_a 3.218
_cell_length_b 3.218
_cell_length_c 9.116
_cell_angle_alpha 90.00
_cell_angle_beta 90.00
_cell_angle_gamma 90.00
loop_
_atom_site_label
_atom_site_type_symbol
_atom_site_fract_x
_atom_site_fract_y
_atom_site_fract_z
Zn1 Zn 0.000 0.000 0.000
In1 In 0.000 0.000 0.699
Ni1 Ni 0.000 0.000 0.378
# Density in Mg/m³: 8.4
# Total magnetization in μB/cell: 0.00
# ΔE_f in meV per atom: -37
# DOS at the Fermi energy in states/eV/cell: 1.90
# Total DFT energy (no corrections) in eV/atom: -3.3020


2.
# K12Rb16Hg, optimized geometry, DFT PBE-GGA
data_K12Rb16Hg
_chemical_formula_sum 'K24 Rb32 Hg2'
_symmetry_space_group_name_H-M 'C 1 m 1'
_symmetry_Int_Tables_number 8
_cell_length_a 16.784
_cell_length_b 23.174
_cell_length_c 14.435
_cell_angle_alpha 90.00
_cell_angle_beta 123.88
_cell_angle_gamma 90.00
loop_
_symmetry_equiv_pos_as_xyz
'x,y,z'
'x,-y,z'
'x+1/2,y+1/2,z'
'x+1/2,-y+1/2,z'
loop_
_atom_site_label
_atom_site_type_symbol
_atom_site_fract_x
_atom_site_fract_y
_atom_site_fract_z
K1 K 0.000 0.000 0.000
K2 K 0.053 0.407 0.470
K3 K 0.155 0.292 0.015
K4 K 0.327 0.500 0.619
K5 K 0.397 0.095 0.864
K6 K 0.412 0.409 0.210
K7 K 0.461 0.188 0.651
Rb1 Rb 0.098 0.111 0.790
Rb2 Rb 0.130 0.204 0.521
Rb3 Rb 0.144 0.500 0.832
Rb4 Rb 0.153 0.500 0.200
Rb5 Rb 0.200 0.000 0.514
Rb6 Rb 0.212 0.140 0.254
Rb7 Rb 0.306 0.342 0.419
Rb8 Rb 0.336 0.000 0.119
Rb9 Rb 0.336 0.323 0.834
Rb10 Rb 0.450 0.204 0.159
Hg1 Hg 0.436 0.500 0.453
# Density in Mg/m³: 1.5
# Total magnetization in μB/cell: 0.00
# ΔE_f in meV per atom: 3
# DOS at the Fermi energy in states/eV/cell: 45.94
# Total DFT energy (no corrections) in eV/atom: -0.9953


3.
# CePrNi2, optimized geometry, DFT PBE-GGA
data_CePrNi2
_chemical_formula_sum 'Ce4 Pr4 Ni8'
_symmetry_space_group_name_H-M 'F m -3 m'
_symmetry_Int_Tables_number 225
_symmetry_space_group_name_Hall '-F 4 2 3'
_cell_length_a 6.942
_cell_length_b 6.942
_cell_length_c 6.942
_cell_angle_alpha 90.00
_cell_angle_beta 90.00
_cell_angle_gamma 90.00
loop_
_atom_site_label
_atom_site_type_symbol
_atom_site_fract_x
_atom_site_fract_y
_atom_site_fract_z
Ce1 Ce 0.000 0.000 0.000
Pr1 Pr 0.000 0.000 0.500
Ni1 Ni 0.250 0.250 0.250
# Density in Mg/m³: 7.9
# Total magnetization in μB/cell: 2.19
# ΔE_f in meV per atom: -187
# DOS at the Fermi energy in states/eV/cell: 27.94
# Offset from the most stable computed form in meV per atom: 118
# Total DFT energy (no corrections) in eV/atom: -5.7556


ΔE_f of number 3 (CePrNi2)? -187 meV per atom


Among the records above, which one has the lowest density? K12Rb16Hg


Please write out number 1 again, unchanged.
# ZnInNi, optimized geometry, DFT PBE-GGA
data_ZnInNi
_chemical_formula_sum 'Zn2 In2 Ni2'
_symmetry_space_group_name_H-M 'I 4 m m'
_symmetry_Int_Tables_number 107
_symmetry_space_group_name_Hall 'I 4 -2'
_cell_length_a 3.218
_cell_length_b 3.218
_cell_length_c 9.116
_cell_angle_alpha 90.00
_cell_angle_beta 90.00
_cell_angle_gamma 90.00
loop_
_atom_site_label
_atom_site_type_symbol
_atom_site_fract_x
_atom_site_fract_y
_atom_site_fract_z
Zn1 Zn 0.000 0.000 0.000
In1 In 0.000 0.000 0.699
Ni1 Ni 0.000 0.000 0.378
# Density in Mg/m³: 8.4
# Total magnetization in μB/cell: 0.00
# ΔE_f in meV per atom: -37
# DOS at the Fermi energy in states/eV/cell: 1.90
# Total DFT energy (no corrections) in eV/atom: -3.3020


What is the ΔE_f in the first record? -37 meV per atom